DFT (GGA-PBE) results for a geometry-optimized Be3AlO structure.

Computed properties:
Formation energy without anion corrections = 6.64 eV per formula unit
Calculated volume = 16.4 A^3/atom
Calculated total energy = -2.65 eV per atom
Offset from the most stable computed form = 1524 meV/atom

extended XYZ file:
```
5
Lattice="4.3461 0.0000 0.0000 0.0000 4.3461 0.0000 0.0000 0.0000 4.3461" Properties=species:S:1:pos:R:3 pbc="T T T"
Be 0.0000 2.1730 0.0000
Be 0.0000 0.0000 2.1730
Be 2.1730 0.0000 0.0000
Al 0.0000 0.0000 0.0000
O 2.1730 2.1730 2.1730
```